BaLaV2O8 (GGA+U, relaxed); raw total energy = -7.467 eV/atom; M_tot = 1.11 Bohr magnetons per cell
1.0
-1.6718 -5.6028 0.2519
3.8297 1.7306 -4.0729
5.9831 -1.5622 4.9621
Ba La V O
1 1 2 8
Direct
0.0000 0.0000 0.0000
0.0000 0.0000 0.5000
0.6667 0.3333 0.2187
0.3333 0.6667 0.7813
0.3333 0.6667 0.9955
0.3388 0.1706 0.2893
0.8294 0.1682 0.2893
0.6667 0.3333 0.0045
0.1706 0.8318 0.7107
0.6612 0.8294 0.7107
0.1682 0.3388 0.7107
0.8318 0.6612 0.2893